P.
An optimized crystal structure of Fe2Cl3, computed with PBE.

Geometry as CIF:
```
data_Fe2Cl3
_space_group_name_H-M_alt 'P 1'
_space_group_IT_number 1
_cell_length_a 9.7244
_cell_length_b 9.7244
_cell_length_c 9.7244
_cell_angle_alpha 21.19
_cell_angle_beta 21.19
_cell_angle_gamma 21.19
loop_
_space_group_symop_operation_xyz
'x,y,z'
loop_
_atom_site_label
_atom_site_type_symbol
_atom_site_fract_x
_atom_site_fract_y
_atom_site_fract_z
Fe1 Fe 0.1061 0.1061 0.1061
Fe2 Fe 0.8939 0.8939 0.8939
Cl1 Cl 0.2691 0.2691 0.2691
Cl2 Cl 0.5000 0.5000 0.5000
Cl3 Cl 0.7309 0.7309 0.7309
```

Computed properties:
* total magnetization: 7.000 μB per formula unit
* space group: R-3m

=====

Q.
An optimized crystal structure of Fe2Cl3, computed with PBE.

Geometry as CIF:
```
data_Fe2Cl3
_space_group_name_H-M_alt 'P 1'
_space_group_IT_number 1
_cell_length_a 6.4412
_cell_length_b 6.3917
_cell_length_c 7.3610
_cell_angle_alpha 55.31
_cell_angle_beta 54.68
_cell_angle_gamma 70.00
loop_
_space_group_symop_operation_xyz
'x,y,z'
loop_
_atom_site_label
_atom_site_type_symbol
_atom_site_fract_x
_atom_site_fract_y
_atom_site_fract_z
Fe1 Fe 0.0721 0.9279 0.1461
Fe2 Fe 0.1039 0.3961 0.1779
Fe3 Fe 0.3961 0.1039 0.3221
Fe4 Fe 0.9279 0.0721 0.8539
Cl1 Cl 0.1857 0.4336 0.4446
Cl2 Cl 0.3140 0.8054 0.8164
Cl3 Cl 0.4336 0.1857 0.9360
Cl4 Cl 0.7081 0.7081 0.2919
Cl5 Cl 0.8054 0.3140 0.0643
Cl6 Cl 0.9581 0.9581 0.5419
```

Computed properties:
* total magnetization: 7.000 μB per formula unit
* space group: Fdd2

=====

Relative energies, in meV/atom, with the most stable structure set to zero: P 52; Q 0.

=====

P.
An optimized crystal structure of Ga3FeCl, computed with PBE.

Geometry as CIF:
```
data_Ga3FeCl
_space_group_name_H-M_alt 'P 1'
_space_group_IT_number 1
_cell_length_a 5.0928
_cell_length_b 5.0928
_cell_length_c 5.0928
_cell_angle_alpha 90.00
_cell_angle_beta 90.00
_cell_angle_gamma 90.00
loop_
_space_group_symop_operation_xyz
'x,y,z'
loop_
_atom_site_label
_atom_site_type_symbol
_atom_site_fract_x
_atom_site_fract_y
_atom_site_fract_z
Ga1 Ga 0.0000 0.0000 0.5000
Ga2 Ga 0.0000 0.5000 0.0000
Ga3 Ga 0.5000 0.0000 0.0000
Fe1 Fe 0.5000 0.5000 0.5000
Cl1 Cl 0.0000 0.0000 0.0000
```

Computed properties:
* total magnetization: 3.093 μB per formula unit
* space group: Pm-3m

=====

Q.
An optimized crystal structure of Ga3FeCl, computed with PBE.

Geometry as CIF:
```
data_Ga3FeCl
_space_group_name_H-M_alt 'P 1'
_space_group_IT_number 1
_cell_length_a 4.6733
_cell_length_b 4.6733
_cell_length_c 4.6733
_cell_angle_alpha 90.00
_cell_angle_beta 90.00
_cell_angle_gamma 90.00
loop_
_space_group_symop_operation_xyz
'x,y,z'
loop_
_atom_site_label
_atom_site_type_symbol
_atom_site_fract_x
_atom_site_fract_y
_atom_site_fract_z
Ga1 Ga 0.0000 0.0000 0.5000
Ga2 Ga 0.0000 0.5000 0.0000
Ga3 Ga 0.5000 0.0000 0.0000
Fe1 Fe 0.0000 0.0000 0.0000
Cl1 Cl 0.5000 0.5000 0.5000
```

Computed properties:
* total magnetization: 0.000 μB per formula unit
* space group: Pm-3m

=====

Relative energies, in meV/atom, with the most stable structure set to zero: P 920; Q 0.

=====

P.
An optimized crystal structure of GaFe2Cl, computed with PBE.

Geometry as CIF:
```
data_GaFe2Cl
_space_group_name_H-M_alt 'P 1'
_space_group_IT_number 1
_cell_length_a 5.5255
_cell_length_b 5.5255
_cell_length_c 5.5255
_cell_angle_alpha 106.05
_cell_angle_beta 106.05
_cell_angle_gamma 116.56
loop_
_space_group_symop_operation_xyz
'x,y,z'
loop_
_atom_site_label
_atom_site_type_symbol
_atom_site_fract_x
_atom_site_fract_y
_atom_site_fract_z
Ga1 Ga 0.0000 0.0000 0.0000
Ga2 Ga 0.7500 0.2500 0.5000
Fe1 Fe 0.1506 0.6250 0.0256
Fe2 Fe 0.3750 0.4006 0.5256
Fe3 Fe 0.5994 0.1250 0.9744
Fe4 Fe 0.8750 0.8494 0.4744
Cl1 Cl 0.2500 0.7500 0.5000
Cl2 Cl 0.5000 0.5000 0.0000
```

Computed properties:
* total magnetization: 5.907 μB per formula unit
* space group: I-42d

=====

Q.
An optimized crystal structure of GaFe2Cl, computed with PBE.

Geometry as CIF:
```
data_GaFe2Cl
_space_group_name_H-M_alt 'P 1'
_space_group_IT_number 1
_cell_length_a 4.3446
_cell_length_b 4.3446
_cell_length_c 4.3446
_cell_angle_alpha 60.00
_cell_angle_beta 60.00
_cell_angle_gamma 60.00
loop_
_space_group_symop_operation_xyz
'x,y,z'
loop_
_atom_site_label
_atom_site_type_symbol
_atom_site_fract_x
_atom_site_fract_y
_atom_site_fract_z
Ga1 Ga 0.0000 0.0000 0.0000
Fe1 Fe 0.2500 0.2500 0.2500
Fe2 Fe 0.7500 0.7500 0.7500
Cl1 Cl 0.5000 0.5000 0.5000
```

Computed properties:
* total magnetization: 4.889 μB per formula unit
* space group: Fm-3m

=====

Relative energies, in meV/atom, with the most stable structure set to zero: P 0; Q 38.

=====

P.
An optimized crystal structure of GaFeCl2, computed with PBE.

Geometry as CIF:
```
data_GaFeCl2
_space_group_name_H-M_alt 'P 1'
_space_group_IT_number 1
_cell_length_a 8.9042
_cell_length_b 8.9042
_cell_length_c 8.9042
_cell_angle_alpha 21.72
_cell_angle_beta 21.72
_cell_angle_gamma 21.72
loop_
_space_group_symop_operation_xyz
'x,y,z'
loop_
_atom_site_label
_atom_site_type_symbol
_atom_site_fract_x
_atom_site_fract_y
_atom_site_fract_z
Ga1 Ga 0.0000 0.0000 0.0000
Fe1 Fe 0.5000 0.5000 0.5000
Cl1 Cl 0.1190 0.1190 0.1190
Cl2 Cl 0.8810 0.8810 0.8810
```

Computed properties:
* total magnetization: 0.256 μB per formula unit
* space group: R-3m

=====

Q.
An optimized crystal structure of GaFeCl2, computed with PBE.

Geometry as CIF:
```
data_GaFeCl2
_space_group_name_H-M_alt 'P 1'
_space_group_IT_number 1
_cell_length_a 6.7864
_cell_length_b 6.7864
_cell_length_c 6.7864
_cell_angle_alpha 122.65
_cell_angle_beta 122.65
_cell_angle_gamma 85.47
loop_
_space_group_symop_operation_xyz
'x,y,z'
loop_
_atom_site_label
_atom_site_type_symbol
_atom_site_fract_x
_atom_site_fract_y
_atom_site_fract_z
Ga1 Ga 0.0000 0.0000 0.0000
Ga2 Ga 0.7500 0.2500 0.5000
Fe1 Fe 0.2500 0.7500 0.5000
Fe2 Fe 0.5000 0.5000 0.0000
Cl1 Cl 0.2097 0.6250 0.0847
Cl2 Cl 0.3750 0.4597 0.5847
Cl3 Cl 0.5403 0.1250 0.9153
Cl4 Cl 0.8750 0.7903 0.4153
```

Computed properties:
* total magnetization: 3.000 μB per formula unit
* space group: I-42d

=====

Relative energies, in meV/atom, with the most stable structure set to zero: P 112; Q 0.